The following is a PBE calculation of a relaxed ZnCrBi2H crystal, from the Alexandria database.

Cell lengths 5.323, 3.440, 5.323 Å; angles 90.00, 90.00, 90.00 degrees
Atoms (fractional coordinates):
Cr 0.000 0.500 0.000
Zn 0.500 0.500 0.500
Bi 0.000 0.000 0.500
Bi 0.500 0.000 0.000
H 0.000 0.000 0.000

Results
Total energy in eV per atom: -4.027